A geometry-optimized CeThGe structure, computed with PBE-GGA.

Results
For the formation energy, the calculation gives -604 meV/atom. Its size of the total moment is 0.00 μB/cell.

Geometry as POSCAR:
```
CeThGe
1.0
-2.146 2.146 8.534
2.146 -2.146 8.534
2.146 2.146 -8.534
Ce Th Ge
2 2 2
Direct
0.000 0.500 0.500
0.500 0.000 0.500
0.180 0.180 0.000
0.820 0.820 0.000
0.364 0.364 0.000
0.636 0.636 0.000
```